DFT (PBE) results for a relaxed structure of ZnCoSnMo.

It has space group F-43m (No. 216), with a = 6.274 Å, b = 6.274 Å, c = 6.274 Å, α = 90.00°, β = 90.00° and γ = 90.00°. The inequivalent atoms are Zn at (0.000, 0.000, 0.000), Co at (0.250, 0.250, 0.750), Sn at (0.000, 0.000, 0.500) and Mo at (0.250, 0.250, 0.250).

The total energy is -5.482 eV per atom. For the total magnetization, the calculation gives 1.9 μB/f.u.